# 1
Material: Rb2O
Method: DFT, PBE
State: relaxed

Computed properties:
Volume ... 33.1 Å³/atom
Uncorrected formation energy ... -2.72 eV/f.u.
Raw total energy ... -3.21 eV/atom

abc: 4.2933 4.2933 18.6849
angles: 90.00 90.00 120.00
Last column: nearest neighbours and their distance in Å.
Space group R-3m (No. 166, hexagonal axes)
Symmetry-distinct sites (fractional):
Rb 0.0000 0.0000 0.2356 [6 per cell]  3 O 2.79
O 0.0000 0.0000 0.5000 [3 per cell]  6 Rb 2.79

=====

# 2
Material: SrSc3Cu
Method: DFT, PBE
State: relaxed

Computed properties:
Volume ... 27.4 Å³/atom
Raw total energy ... -3.40 eV/atom

abc: 5.1548 5.1548 5.1548
angles: 90.00 90.00 90.00
Last column: nearest neighbours and their distance in Å.
Space group Pm-3m (No. 221)
Symmetry-distinct sites (fractional):
Sr 0.0000 0.0000 0.0000 [1 per cell]  6 Sc 2.58
Sc 0.0000 0.0000 0.5000 [3 per cell]  2 Sr 2.58
Cu 0.5000 0.5000 0.5000 [1 per cell]  12 Sc 3.64